Run i
Here is a geometry-optimized SbCl2O structure from Alexandria via LeMat-Bulk. Energies are from GGA-PBE.

Cell: 7.253 7.253 7.253 Å, 94.30 94.30 148.23°
Sites, in units of the cell vectors:
Sb1 0.000 0.000 0.000
Sb2 0.750 0.250 0.500
Cl1 0.375 0.216 0.341
Cl2 0.784 0.125 0.159
Cl3 0.875 0.034 0.659
Cl4 0.966 0.625 0.841
O1 0.250 0.750 0.500
O2 0.500 0.500 0.000

## Properties
The calculation puts the volume at 193 Å³ per cell. For the calculated density, the calculation gives 3.59 g cm⁻³. Its space group is I-42d. The crystal system is tetragonal. For the density of states at the Fermi level, the calculation gives 0.73 states/eV/f.u.


Run ii
Here is a geometry-optimized SbCl2O structure from Alexandria via LeMat-Bulk. Energies are from GGA-PBE.

Cell: 4.675 4.675 4.675 Å, 60.00 60.00 60.00°
Sites, in units of the cell vectors:
Sb1 0.000 0.000 0.000
Cl1 0.250 0.250 0.250
Cl2 0.750 0.750 0.750
O1 0.500 0.500 0.500

## Properties
The calculation puts the volume at 72 Å³ per cell. For the calculated density, the calculation gives 4.79 g cm⁻³. Its space group is Fm-3m. The crystal system is cubic. For the density of states at the Fermi level, the calculation gives 4.02 states/eV/f.u.


The structure with the least stability is run ii.


Run i
Here is a geometry-optimized Se3ClO structure from Alexandria via LeMat-Bulk. Energies are from GGA-PBE.

Cell: 4.568 4.568 4.568 Å, 90.00 90.00 90.00°
Sites, in units of the cell vectors:
Se1 0.000 0.000 0.500
Se2 0.000 0.500 0.000
Se3 0.500 0.000 0.000
Cl1 0.500 0.500 0.500
O1 0.000 0.000 0.000

## Properties
The calculation puts the volume at 95 Å³ per cell. For the calculated density, the calculation gives 5.02 g cm⁻³. Its space group is Pm-3m. The crystal system is cubic. For the density of states at the Fermi level, the calculation gives 4.25 states/eV/f.u.


Run ii
Here is a geometry-optimized Se3ClO structure from Alexandria via LeMat-Bulk. Energies are from GGA-PBE.

Cell: 4.935 4.935 4.935 Å, 90.00 90.00 90.00°
Sites, in units of the cell vectors:
Se1 0.000 0.000 0.500
Se2 0.000 0.500 0.000
Se3 0.500 0.000 0.000
Cl1 0.000 0.000 0.000
O1 0.500 0.500 0.500

## Properties
The calculation puts the volume at 120 Å³ per cell. For the calculated density, the calculation gives 3.98 g cm⁻³. Its space group is Pm-3m. The crystal system is cubic. For the density of states at the Fermi level, the calculation gives 8.93 states/eV/f.u.


The structure with the least stability is run ii.


Run i
Here is a geometry-optimized Se2ClO structure from Alexandria via LeMat-Bulk. Energies are from GGA-PBE.

Cell: 8.457 8.457 8.457 Å, 21.11 21.11 21.11°
Sites, in units of the cell vectors:
Se1 0.099 0.099 0.099
Se2 0.901 0.901 0.901
Cl1 0.000 0.000 0.000
O1 0.500 0.500 0.500

## Properties
The calculation puts the volume at 69 Å³ per cell. For the calculated density, the calculation gives 5.06 g cm⁻³. Its space group is R-3m. The crystal system is trigonal. For the density of states at the Fermi level, the calculation gives 4.05 states/eV/f.u.


Run ii
Here is a geometry-optimized Se2ClO structure from Alexandria via LeMat-Bulk. Energies are from GGA-PBE.

Cell: 4.522 4.522 4.522 Å, 60.00 60.00 60.00°
Sites, in units of the cell vectors:
Se1 0.250 0.250 0.250
Se2 0.750 0.750 0.750
Cl1 0.000 0.000 0.000
O1 0.500 0.500 0.500

## Properties
The calculation puts the volume at 65 Å³ per cell. For the calculated density, the calculation gives 5.32 g cm⁻³. Its space group is Fm-3m. The crystal system is cubic. For the density of states at the Fermi level, the calculation gives 4.91 states/eV/f.u.


Run iii
Here is a geometry-optimized Se2ClO structure from Alexandria via LeMat-Bulk. Energies are from GGA-PBE.

Cell: 8.537 8.537 8.537 Å, 21.64 21.64 21.64°
Sites, in units of the cell vectors:
Se1 0.072 0.072 0.072
Se2 0.928 0.928 0.928
Cl1 0.500 0.500 0.500
O1 0.000 0.000 0.000

## Properties
The calculation puts the volume at 74 Å³ per cell. For the calculated density, the calculation gives 4.69 g cm⁻³. Its space group is R-3m. The crystal system is trigonal. For the density of states at the Fermi level, the calculation gives 2.36 states/eV/f.u.


The structure with the least stability is run ii.


Run i
Here is a geometry-optimized TlSeClO2 structure from Alexandria via LeMat-Bulk. Energies are from GGA-PBE.

Cell: 3.948 3.948 6.490 Å, 90.00 90.00 90.00°
Sites, in units of the cell vectors:
Tl1 0.000 0.000 0.000
Se1 0.000 0.000 0.500
Cl1 0.500 0.500 0.000
O1 0.000 0.500 0.500
O2 0.500 0.000 0.500

## Properties
The calculation puts the volume at 101 Å³ per cell. For the calculated density, the calculation gives 5.76 g cm⁻³. Its space group is P4/mmm. The crystal system is tetragonal. For the density of states at the Fermi level, the calculation gives 2.20 states/eV/f.u.


Run ii
Here is a geometry-optimized TlSeClO2 structure from Alexandria via LeMat-Bulk. Energies are from GGA-PBE.

Cell: 4.170 4.170 5.982 Å, 90.00 90.00 90.00°
Sites, in units of the cell vectors:
Tl1 0.000 0.000 0.000
Se1 0.500 0.500 0.500
Cl1 0.000 0.000 0.500
O1 0.000 0.500 0.000
O2 0.500 0.000 0.000

## Properties
The calculation puts the volume at 104 Å³ per cell. For the calculated density, the calculation gives 5.60 g cm⁻³. Its space group is P4/mmm. The crystal system is tetragonal. For the density of states at the Fermi level, the calculation gives 4.12 states/eV/f.u.


The structure with the least stability is run ii.


Run i
Here is a geometry-optimized SmClO2 structure from Alexandria via LeMat-Bulk. Energies are from GGA-PBE.

Cell: 5.029 4.292 6.488 Å, 90.00 107.92 90.00°
Sites, in units of the cell vectors:
Sm1 0.182 0.250 0.334
Sm2 0.818 0.750 0.666
Cl1 0.214 0.250 0.912
Cl2 0.786 0.750 0.088
O1 0.243 0.750 0.547
O2 0.384 0.750 0.375
O3 0.616 0.250 0.625
O4 0.757 0.250 0.453

## Properties
The calculation puts the volume at 133 Å³ per cell. For the calculated density, the calculation gives 5.43 g cm⁻³. Its space group is P2_1/m. The crystal system is monoclinic. For the density of states at the Fermi level, the calculation gives 0.00 states/eV/f.u.


Run ii
Here is a geometry-optimized SmClO2 structure from Alexandria via LeMat-Bulk. Energies are from GGA-PBE.

Cell: 6.277 3.656 6.607 Å, 90.00 103.95 90.00°
Sites, in units of the cell vectors:
Sm1 0.168 0.250 0.321
Sm2 0.832 0.750 0.679
Cl1 0.243 0.750 0.013
Cl2 0.757 0.250 0.987
O1 0.047 0.250 0.633
O2 0.464 0.750 0.502
O3 0.536 0.250 0.498
O4 0.953 0.750 0.367

## Properties
The calculation puts the volume at 147 Å³ per cell. For the calculated density, the calculation gives 4.92 g cm⁻³. Its space group is P2_1/m. The crystal system is monoclinic. For the density of states at the Fermi level, the calculation gives 0.75 states/eV/f.u.


The structure with the least stability is run ii.


Run i
Here is a geometry-optimized SrSn2Cl6O5 structure from Alexandria via LeMat-Bulk. Energies are from GGA-PBE.

Cell: 9.429 9.429 12.397 Å, 114.74 114.74 80.13°
Sites, in units of the cell vectors:
Sr1 0.166 0.834 0.750
Sr2 0.834 0.166 0.250
Sn1 0.197 0.213 0.692
Sn2 0.213 0.197 0.192
Sn3 0.787 0.803 0.808
Sn4 0.803 0.787 0.308
Cl1 0.072 0.786 0.450
Cl2 0.172 0.345 0.071
Cl3 0.214 0.928 0.050
Cl4 0.246 0.480 0.836
Cl5 0.345 0.172 0.571
Cl6 0.480 0.246 0.336
Cl7 0.520 0.754 0.664
Cl8 0.655 0.828 0.429
Cl9 0.754 0.520 0.164
Cl10 0.786 0.072 0.950
Cl11 0.828 0.655 0.929
Cl12 0.928 0.214 0.550
O1 0.068 0.513 0.538
O2 0.076 0.223 0.275
O3 0.223 0.076 0.775
O4 0.387 0.613 0.750
O5 0.487 0.932 0.962
O6 0.513 0.068 0.038
O7 0.613 0.387 0.250
O8 0.777 0.924 0.225
O9 0.924 0.777 0.725
O10 0.932 0.487 0.462

## Properties
The calculation puts the volume at 909 Å³ per cell. For the calculated density, the calculation gives 2.26 g cm⁻³. Its space group is C2/c. The crystal system is monoclinic. For the density of states at the Fermi level, the calculation gives 0.77 states/eV/f.u.


Run ii
Here is a geometry-optimized SrSn2Cl6O5 structure from Alexandria via LeMat-Bulk. Energies are from GGA-PBE.

Cell: 9.790 9.790 11.081 Å, 101.40 101.40 116.26°
Sites, in units of the cell vectors:
Sr1 0.092 0.908 0.750
Sr2 0.908 0.092 0.250
Sn1 0.169 0.361 0.876
Sn2 0.361 0.169 0.376
Sn3 0.639 0.831 0.624
Sn4 0.831 0.639 0.124
Cl1 0.067 0.715 0.065
Cl2 0.136 0.477 0.707
Cl3 0.285 0.933 0.435
Cl4 0.373 0.577 0.054
Cl5 0.423 0.627 0.446
Cl6 0.477 0.136 0.207
Cl7 0.523 0.864 0.793
Cl8 0.577 0.373 0.554
Cl9 0.627 0.423 0.946
Cl10 0.715 0.067 0.565
Cl11 0.864 0.523 0.293
Cl12 0.933 0.285 0.935
O1 0.018 0.069 0.501
O2 0.069 0.018 0.001
O3 0.182 0.194 0.310
O4 0.194 0.182 0.810
O5 0.239 0.761 0.750
O6 0.761 0.239 0.250
O7 0.806 0.818 0.190
O8 0.818 0.806 0.690
O9 0.931 0.982 0.999
O10 0.982 0.931 0.499

## Properties
The calculation puts the volume at 883 Å³ per cell. For the calculated density, the calculation gives 2.32 g cm⁻³. Its space group is C2/c. The crystal system is monoclinic.


The structure with the least stability is run ii.